SmDy9Sc2: optimized geometry, PBE.

Energy of formation ... 0.0368 eV/atom

Cell lengths 11.0566, 11.0566, 3.4681 Å; angles 90.00, 90.00, 120.00 degrees
Space group P6/mmm (No. 191)
One atom of each set of equivalent atoms:
Sm 0.0000 0.0000 0.0000 [1 per cell]
Dy 0.0000 0.5000 0.0000 [3 per cell]
Dy 0.1799 0.3598 0.5000 [6 per cell]
Sc 0.3333 0.6667 0.0000 [2 per cell]

=====

Sm7Dy2Sc: optimized geometry, PBE.

Energy of formation ... 0.6713 eV/atom

Cell lengths 8.788, 17.221, 5.194 Å; angles 90.00, 90.00, 90.00 degrees
Space group Cmmm (No. 65)
One atom of each set of equivalent atoms:
Sm 0.000 0.000 0.000 [2 per cell]
Sm 0.000 0.305 0.500 [4 per cell]
Sm 0.180 0.394 0.000 [8 per cell]
Dy 0.000 0.203 0.000 [4 per cell]
Sc 0.000 0.500 0.500 [2 per cell]

=====

Sm4DySc3: optimized geometry, PBE.

Energy of formation ... 0.0412 eV/atom

Cell lengths 11.263, 6.044, 6.999 Å; angles 90.00, 90.00, 90.00 degrees
Space group Pmn2_1 (No. 31)
One atom of each set of equivalent atoms:
Sm 0.000 0.163 0.000 [2 per cell]
Sm 0.000 0.675 0.252 [2 per cell]
Sm 0.249 0.499 0.501 [4 per cell]
Dy 0.000 0.163 0.505 [2 per cell]
Sc 0.000 0.667 0.750 [2 per cell]
Sc 0.247 0.996 0.752 [4 per cell]

=====

Sm6Dy3Sc2: optimized geometry, PBE.

Energy of formation ... 0.3071 eV/atom

Cell lengths 4.745, 4.745, 32.241 Å; angles 90.00, 90.00, 90.00 degrees
Space group I4/mmm (No. 139)
One atom of each set of equivalent atoms:
Sm 0.000 0.000 0.197 [4 per cell]
Sm 0.000 0.500 0.115 [8 per cell]
Dy 0.000 0.000 0.303 [4 per cell]
Dy 0.000 0.000 0.500 [2 per cell]
Sc 0.000 0.000 0.043 [4 per cell]

=====

SmDySc: optimized geometry, PBE.

Energy of formation ... 0.0798 eV/atom

Cell lengths 5.5050, 5.5050, 3.3912 Å; angles 90.00, 90.00, 120.00 degrees
Space group P3m1 (No. 156)
One atom of each set of equivalent atoms:
Sm 0.0000 0.0000 0.0000 [1 per cell]
Dy 0.6667 0.3333 0.5010 [1 per cell]
Sc 0.3333 0.6667 0.4987 [1 per cell]

=====

Sm12Dy6Sc: optimized geometry, PBE.

Energy of formation ... 0.1430 eV/atom

Cell lengths 12.0384, 12.0384, 15.0970 Å; angles 90.00, 90.00, 120.00 degrees
Space group R-3 (No. 148, hexagonal axes)
One atom of each set of equivalent atoms:
Sm 0.0018 0.1719 0.1891 [18 per cell]
Sm 0.0480 0.1965 0.4154 [18 per cell]
Dy 0.0179 0.5901 0.6870 [18 per cell]
Sc 0.0000 0.0000 0.0000 [3 per cell]

=====

Sm12Dy7Sc: optimized geometry, PBE.

Energy of formation ... 0.1635 eV/atom

Cell lengths 15.0623, 15.0623, 10.0928 Å; angles 90.00, 90.00, 120.00 degrees
Space group R-3 (No. 148, hexagonal axes)
One atom of each set of equivalent atoms:
Sm 0.0442 0.1963 0.2516 [18 per cell]
Sm 0.0436 0.2502 0.5740 [18 per cell]
Dy 0.0000 0.0000 0.5000 [3 per cell]
Dy 0.0674 0.2416 0.9265 [18 per cell]
Sc 0.0000 0.0000 0.0000 [3 per cell]

=====

Sm6DySc2: optimized geometry, PBE.

Energy of formation ... 0.0723 eV/atom

Cell lengths 21.514, 9.653, 5.590 Å; angles 90.00, 105.02, 90.00 degrees
Space group C2/c (No. 15)
One atom of each set of equivalent atoms:
Sm 0.087 0.082 0.335 [8 per cell]
Sm 0.087 0.415 0.338 [8 per cell]
Sm 0.171 0.251 0.921 [8 per cell]
Dy 0.000 0.251 0.750 [4 per cell]
Sc 0.250 0.083 0.501 [8 per cell]

=====

Sm4Dy15Sc: optimized geometry, PBE.

Energy of formation ... 0.0233 eV/atom

Cell lengths 5.020, 5.020, 25.043 Å; angles 90.00, 90.00, 90.00 degrees
Space group P4/mmm (No. 123)
One atom of each set of equivalent atoms:
Sm 0.000 0.000 0.101 [2 per cell]
Sm 0.000 0.000 0.302 [2 per cell]
Dy 0.000 0.500 0.000 [2 per cell]
Dy 0.000 0.500 0.202 [4 per cell]
Dy 0.000 0.500 0.404 [4 per cell]
Dy 0.500 0.500 0.101 [2 per cell]
Dy 0.500 0.500 0.303 [2 per cell]
Dy 0.500 0.500 0.500 [1 per cell]
Sc 0.000 0.000 0.500 [1 per cell]

=====

SmDy3Sc6: optimized geometry, PBE.

Energy of formation ... 0.4053 eV/atom

Cell lengths 9.2820, 9.2820, 11.2548 Å; angles 90.00, 90.00, 120.00 degrees
Space group R3 (No. 146, hexagonal axes)
One atom of each set of equivalent atoms:
Sm 0.0000 0.0000 0.0000 [3 per cell]
Dy 0.0000 0.0000 0.2513 [3 per cell]
Dy 0.0000 0.0000 0.5001 [3 per cell]
Dy 0.0000 0.0000 0.7493 [3 per cell]
Sc 0.9997 0.3317 0.9988 [9 per cell]
Sc 0.9998 0.6699 0.4989 [9 per cell]

=====

SmDySc: optimized geometry, PBE.

Energy of formation ... 0.0490 eV/atom

Cell lengths 3.502, 3.502, 14.584 Å; angles 90.00, 90.00, 90.00 degrees
Space group I4mm (No. 107)
One atom of each set of equivalent atoms:
Sm 0.000 0.000 0.000 [2 per cell]
Dy 0.000 0.000 0.323 [2 per cell]
Sc 0.000 0.000 0.663 [2 per cell]

=====

Sm2DySc2: optimized geometry, PBE.

Energy of formation ... 0.1587 eV/atom

Cell lengths 8.879, 15.664, 5.611 Å; angles 90.00, 129.14, 90.00 degrees
Space group C2/c (No. 15)
One atom of each set of equivalent atoms:
Sm 0.248 0.063 0.498 [8 per cell]
Dy 0.000 0.150 0.750 [4 per cell]
Sc 0.000 0.255 0.250 [4 per cell]
Sc 0.000 0.371 0.750 [4 per cell]

=====

Sm2Dy3Sc8: optimized geometry, PBE.

Energy of formation ... 0.3000 eV/atom

Cell lengths 14.100, 8.602, 6.353 Å; angles 90.00, 99.40, 90.00 degrees
Space group C2/m (No. 12)
One atom of each set of equivalent atoms:
Sm 0.207 0.000 0.252 [4 per cell]
Dy 0.000 0.000 0.500 [2 per cell]
Dy 0.000 0.178 0.000 [4 per cell]
Sc 0.080 0.500 0.872 [4 per cell]
Sc 0.108 0.324 0.440 [8 per cell]
Sc 0.222 0.000 0.755 [4 per cell]

=====

SmDy2Sc3: optimized geometry, PBE.

Energy of formation ... 0.0687 eV/atom

Cell lengths 5.970, 3.447, 16.602 Å; angles 90.00, 96.90, 90.00 degrees
Space group P2_1/m (No. 11)
One atom of each set of equivalent atoms:
Sm 0.028 0.250 0.333 [2 per cell]
Dy 0.250 0.250 0.000 [2 per cell]
Dy 0.473 0.250 0.667 [2 per cell]
Sc 0.139 0.750 0.165 [2 per cell]
Sc 0.252 0.750 0.501 [2 per cell]
Sc 0.362 0.750 0.834 [2 per cell]

=====

Sm12DySc7: optimized geometry, PBE.

Energy of formation ... 0.1609 eV/atom

Cell lengths 14.7948, 14.7948, 9.6930 Å; angles 90.00, 90.00, 120.00 degrees
Space group R-3 (No. 148, hexagonal axes)
One atom of each set of equivalent atoms:
Sm 0.0414 0.8471 0.2553 [18 per cell]
Sm 0.0432 0.7864 0.5817 [18 per cell]
Dy 0.0000 0.0000 0.0000 [3 per cell]
Sc 0.0000 0.0000 0.5000 [3 per cell]
Sc 0.0708 0.8268 0.9288 [18 per cell]

=====

Sm2Dy5Sc2: optimized geometry, PBE.

Energy of formation ... 0.2549 eV/atom

Cell lengths 16.354, 10.562, 6.556 Å; angles 90.00, 90.00, 90.00 degrees
Space group Ima2 (No. 46)
One atom of each set of equivalent atoms:
Sm 0.000 0.000 0.000 [4 per cell]
Sm 0.250 0.018 0.798 [4 per cell]
Dy 0.053 0.242 0.298 [8 per cell]
Dy 0.153 0.691 0.640 [8 per cell]
Dy 0.250 0.121 0.282 [4 per cell]
Sc 0.084 0.532 0.027 [8 per cell]

=====

Sm9DySc2: optimized geometry, PBE.

Energy of formation ... 0.0332 eV/atom

Cell lengths 5.033, 5.033, 15.094 Å; angles 90.00, 90.00, 90.00 degrees
Space group P4/mmm (No. 123)
One atom of each set of equivalent atoms:
Sm 0.000 0.000 0.000 [1 per cell]
Sm 0.000 0.000 0.336 [2 per cell]
Sm 0.000 0.500 0.171 [4 per cell]
Sm 0.000 0.500 0.500 [2 per cell]
Dy 0.500 0.500 0.000 [1 per cell]
Sc 0.500 0.500 0.335 [2 per cell]

=====

Sm2Dy6Sc3: optimized geometry, PBE.

Energy of formation ... 0.0455 eV/atom

Cell lengths 6.039, 7.770, 7.795 Å; angles 107.57, 105.09, 97.48 degrees
Space group P-1 (No. 2)
One atom of each set of equivalent atoms:
Sm 0.136 0.232 0.047 [2 per cell]
Dy 0.225 0.047 0.410 [2 per cell]
Dy 0.318 0.855 0.768 [2 per cell]
Dy 0.409 0.678 0.141 [2 per cell]
Sc 0.046 0.411 0.675 [2 per cell]
Sc 0.500 0.500 0.500 [1 per cell]

=====

SmDy4Sc2: optimized geometry, PBE.

Energy of formation ... 0.1422 eV/atom

Cell lengths 5.438, 6.782, 11.670 Å; angles 90.00, 103.48, 90.00 degrees
Space group P2_1/m (No. 11)
One atom of each set of equivalent atoms:
Sm 0.073 0.250 0.142 [2 per cell]
Dy 0.076 0.750 0.154 [2 per cell]
Dy 0.215 0.250 0.431 [2 per cell]
Dy 0.353 0.001 0.707 [4 per cell]
Sc 0.215 0.750 0.429 [2 per cell]
Sc 0.499 0.250 0.995 [2 per cell]